The following is a PBE calculation of a relaxed structure of Lu2Ta4P3N3, from OQMD.

extended XYZ file:
```
24
Lattice="4.993 -2.905 0.000 4.993 2.905 0.000 -3.283 0.000 11.720" Properties=species:S:1:pos:R:3 pbc="T T T"
Lu 2.530 2.428 7.129
Lu 2.532 2.428 10.452
Lu 4.172 -2.428 1.268
Lu 4.174 -2.428 4.592
Ta 2.528 0.497 1.109
Ta 2.509 0.451 4.754
Ta 0.887 -0.497 6.969
Ta 0.867 -0.451 10.614
Ta 5.836 0.451 1.106
Ta 5.817 0.497 4.751
Ta 4.195 -0.451 6.967
Ta 4.175 -0.497 10.611
P -0.670 0.574 8.791
P 0.971 -0.574 2.931
P 2.531 0.344 8.790
P 4.173 -0.344 2.930
P 5.732 0.574 8.789
P 7.374 -0.574 2.929
N 0.855 1.453 5.860
N 0.896 1.487 11.716
N 4.166 1.487 5.864
N 2.497 -1.453 0.000
N 2.538 -1.487 5.856
N 5.807 -1.487 0.004
```

SG   C2/c (15)
Magnetization   0.00 μB/f.u.
Energy   -9.18 eV/atom


The following is a PBE calculation of a relaxed structure of LiCuSiMo, from OQMD.

extended XYZ file:
```
4
Lattice="0.000 2.963 2.963 2.963 0.000 2.963 2.963 2.963 0.000" Properties=species:S:1:pos:R:3 pbc="T T T"
Li 0.000 0.000 0.000
Cu 2.963 2.963 2.963
Si 1.482 1.482 1.482
Mo 4.445 4.445 4.445
```

SG   F-43m (216)
Magnetization   1.75 μB/f.u.
Distance to the lowest polymorph of the same formula   313 meV/atom